# GGA-PBE NaW2Cl8, optimized geometry
# Total moment, μB/f.u.: 5.000
# Crystal system: monoclinic
# Formation energy from raw total energies, eV/atom: -0.69
data_NaW2Cl8
_cell_length_a 6.907
_cell_length_b 8.038
_cell_length_c 8.038
_cell_angle_alpha 65.15
_cell_angle_beta 78.27
_cell_angle_gamma 78.27
_space_group_name_H-M_alt 'P 1'
_space_group_IT_number 1
loop_
_space_group_symop_operation_xyz
'x,y,z'
loop_
_atom_site_label
_atom_site_type_symbol
_atom_site_fract_x
_atom_site_fract_y
_atom_site_fract_z
Cl1 Cl 0.219 0.298 0.913
Cl2 Cl 0.677 0.184 0.184
Cl3 Cl 0.323 0.816 0.816
Cl4 Cl 0.781 0.702 0.087
Cl5 Cl 0.219 0.913 0.298
Cl6 Cl 0.781 0.087 0.702
Cl7 Cl 0.239 0.363 0.363
Cl8 Cl 0.761 0.637 0.637
Na1 Na 0.000 0.000 0.000
W1 W 0.659 0.809 0.809
W2 W 0.341 0.191 0.191